A plane-wave DFT calculation with GGA-PBE was carried out for an optimized crystal structure of VReSbI2.

Cell: 5.3868 5.3868 5.4522 Å, 90.00 90.00 90.00°
Last column: magnetic moment on the atom in μB.
Atoms (fractional coordinates):
I  0.0000  0.5000  0.0000  0.04
I  0.5000  0.0000  0.0000  0.04
V  0.0000  0.0000  0.0000  2.12
Sb  0.0000  0.0000  0.5000  -0.27
Re  0.5000  0.5000  0.5000  4.04

M_tot, μB/atom: 1.393
Raw formation energy, eV per atom: 1.36